# 1
## Nd2Dy3Y4 (PBE-GGA)

Data for a geometry-optimized Nd2Dy3Y4 structure.

Cell lengths 16.4047, 11.6647, 6.1667 Å; angles 90.00, 96.11, 90.00 degrees
With the nearest neighbours (Å) after each atom.
Space group C2/c (No. 15)
One atom of each set of equivalent atoms:
1 Nd 0.1219 0.1450 0.3233 (multiplicity 8)  4 Y 3.30-3.62, 4 Dy 3.45-3.52
2 Dy 0.0000 0.0961 0.7500 (multiplicity 4)  4 Nd 3.45-3.52, 4 Y 3.53-3.55, 2 Dy 3.81
3 Dy 0.1651 0.4015 0.5933 (multiplicity 8)  6 Y 3.37-3.56, 2 Nd 3.46-3.52
4 Y 0.0469 0.3595 0.0149 (multiplicity 8)  1 Nd 3.30, 4 Dy 3.40-3.53, 3 Y 3.42-3.62
5 Y 0.2149 0.1366 0.8492 (multiplicity 8)  1 Y 3.37, 4 Dy 3.37-3.56, 3 Nd 3.44-3.62

Crystal system ... monoclinic

***

# 2
## NdDyY2 (PBE-GGA)

Data for a geometry-optimized NdDyY2 structure.

Cell lengths 5.0809, 5.0809, 5.0769 Å; angles 90.00, 90.00, 90.00 degrees
With the nearest neighbours (Å) after each atom.
Space group P4/mmm (No. 123)
One atom of each set of equivalent atoms:
1 Nd 0.0000 0.0000 0.0000 (multiplicity 1)  8 Y 3.59, 4 Dy 3.59
2 Dy 0.5000 0.5000 0.0000 (multiplicity 1)  8 Y 3.59, 4 Nd 3.59
3 Y 0.0000 0.5000 0.5000 (multiplicity 2)  4 Dy 3.59, 4 Nd 3.59, 4 Y 3.59

Crystal system ... tetragonal
Energy above the most stable polymorph in this dataset ... 7 meV/atom

***

The records above yield calculated formation energy values of 0.09; 0.02 eV/atom, respectively.
The records above yield volume values of 32.6; 32.8 Å³/atom, respectively.
The records above yield total magnetic moment values of 0.000; 0.000 μB per cell, respectively.